Record 1
VASP calculation (PBE-GGA) on BaEr2Zr after structural relaxation.

Unit cell a=12.4772 b=12.4772 c=12.4772 alpha=16.06 beta=16.06 gamma=16.06
With the nearest neighbours (Å) after each atom.
Atoms (fractional coordinates):
Ba 0.0000 0.0000 0.0000  6 Ba 3.49, 2 Er 3.59
Er 0.0971 0.0971 0.0971  3 Zr 3.26, 6 Er 3.49, 1 Ba 3.59
Er 0.9029 0.9029 0.9029  3 Zr 3.26, 6 Er 3.49, 1 Ba 3.59
Zr 0.5000 0.5000 0.5000  6 Er 3.26, 6 Zr 3.49

SG: No. 166
ΔH_f (0 K): 0.267 eV per atom
E_tot: -4.632 eV per atom

=====

Record 2
VASP calculation (PBE-GGA) on Ba5Eu after structural relaxation.

Unit cell a=11.0248 b=11.0248 c=4.9222 alpha=90.00 beta=90.00 gamma=143.06
With the nearest neighbours (Å) after each atom.
Atoms (fractional coordinates):
Ba 0.0000 0.0000 0.0000  4 Eu 4.27, 4 Ba 4.29
Ba 0.1682 0.8318 0.5000  8 Ba 4.28-4.34
Ba 0.3390 0.6610 0.0000  2 Eu 4.17, 6 Ba 4.28-4.34
Ba 0.6610 0.3390 0.0000  2 Eu 4.17, 6 Ba 4.28-4.34
Ba 0.8318 0.1682 0.5000  8 Ba 4.28-4.34
Eu 0.5000 0.5000 0.5000  8 Ba 4.17-4.27

SG: No. 65
ΔH_f (0 K): 0.023 eV per atom
E_tot: -3.292 eV per atom

=====

Record 3
VASP calculation (PBE-GGA) on Ba3Eu after structural relaxation.

Unit cell a=8.3591 b=8.3591 c=8.3591 alpha=149.81 beta=62.63 gamma=126.54
With the nearest neighbours (Å) after each atom.
Atoms (fractional coordinates):
Ba 0.0000 0.0000 0.0000  8 Ba 4.33-4.40, 4 Eu 4.34-4.35
Ba 0.4170 0.6633 0.7537  3 Eu 4.31-4.42, 9 Ba 4.33-4.40
Ba 0.9097 0.6633 0.2463  3 Eu 4.31-4.42, 9 Ba 4.33-4.40
Eu 0.5007 0.0007 0.5000  10 Ba 4.31-4.42, 2 Eu 4.35

Energy above the most stable polymorph in this dataset: 0.007 eV/atom
SG: No. 44
ΔH_f (0 K): 0.048 eV per atom
E_tot: -3.963 eV per atom

=====

Record 4
VASP calculation (PBE-GGA) on BaEu3 after structural relaxation.

Unit cell a=5.7465 b=5.7465 c=5.7465 alpha=90.00 beta=90.00 gamma=90.00
With the nearest neighbours (Å) after each atom.
Atoms (fractional coordinates):
Ba 0.0000 0.0000 0.0000  12 Eu 4.06
Eu 0.0000 0.5000 0.5000  4 Ba 4.06, 8 Eu 4.06
Eu 0.5000 0.0000 0.5000  4 Ba 4.06, 8 Eu 4.06
Eu 0.5000 0.5000 0.0000  4 Ba 4.06, 8 Eu 4.06

SG: No. 221
ΔH_f (0 K): 0.045 eV per atom
E_tot: -8.142 eV per atom

=====

Record 5
VASP calculation (PBE-GGA) on BaEu3 after structural relaxation.

Unit cell a=7.1585 b=7.1585 c=7.1585 alpha=132.75 beta=132.75 gamma=69.04
With the nearest neighbours (Å) after each atom.
Atoms (fractional coordinates):
Ba 0.0000 0.0000 0.0000  12 Eu 4.06-4.11
Eu 0.2500 0.7500 0.5000  8 Eu 4.06-4.11, 4 Ba 4.11
Eu 0.5000 0.5000 0.0000  4 Ba 4.06, 8 Eu 4.11
Eu 0.7500 0.2500 0.5000  8 Eu 4.06-4.11, 4 Ba 4.11

SG: No. 139
ΔH_f (0 K): 0.079 eV per atom
E_tot: -8.107 eV per atom

=====

Record 6
VASP calculation (PBE-GGA) on Ba3Eu after structural relaxation.

Unit cell a=4.3317 b=7.1386 c=7.5478 alpha=90.00 beta=90.00 gamma=90.00
With the nearest neighbours (Å) after each atom.
Atoms (fractional coordinates):
Ba 0.0000 0.0000 0.0000  8 Ba 4.33-4.38, 4 Eu 4.35-4.36
Ba 0.0000 0.5000 0.3329  8 Ba 4.30-4.40, 4 Eu 4.36
Ba 0.5000 0.5000 0.8255  10 Ba 4.30-4.40, 2 Eu 4.33
Eu 0.5000 0.0000 0.5008  10 Ba 4.33-4.36, 2 Eu 4.33

Energy above the most stable polymorph in this dataset: 0.004 eV/atom
SG: No. 25
ΔH_f (0 K): 0.045 eV per atom
E_tot: -3.966 eV per atom

=====

Record 7
VASP calculation (PBE-GGA) on Ba3Eu after structural relaxation.

Unit cell a=6.9071 b=6.9071 c=6.9071 alpha=60.00 beta=60.00 gamma=60.00
With the nearest neighbours (Å) after each atom.
Atoms (fractional coordinates):
Ba 0.0000 0.0000 0.0000  8 Ba 4.23
Ba 0.2500 0.2500 0.2500  4 Ba 4.23, 4 Eu 4.23
Ba 0.7500 0.7500 0.7500  4 Ba 4.23, 4 Eu 4.23
Eu 0.5000 0.5000 0.5000  8 Ba 4.23

Energy above the most stable polymorph in this dataset: 0.000 eV/atom
SG: No. 225
ΔH_f (0 K): 0.041 eV per atom
E_tot: -3.969 eV per atom

=====

Record 8
VASP calculation (PBE-GGA) on Ba3Eu after structural relaxation.

Unit cell a=6.1790 b=6.1790 c=6.1790 alpha=90.00 beta=90.00 gamma=90.00
With the nearest neighbours (Å) after each atom.
Atoms (fractional coordinates):
Ba 0.0000 0.0000 0.5000  8 Ba 4.37, 4 Eu 4.37
Ba 0.0000 0.5000 0.0000  8 Ba 4.37, 4 Eu 4.37
Ba 0.5000 0.0000 0.0000  8 Ba 4.37, 4 Eu 4.37
Eu 0.5000 0.5000 0.5000  12 Ba 4.37

Energy above the most stable polymorph in this dataset: 0.013 eV/atom
SG: No. 221
ΔH_f (0 K): 0.054 eV per atom
E_tot: -3.956 eV per atom

=====

Record 9
VASP calculation (PBE-GGA) on Ba3Eu after structural relaxation.

Unit cell a=7.5851 b=7.5851 c=7.5851 alpha=132.08 beta=132.08 gamma=70.10
With the nearest neighbours (Å) after each atom.
Atoms (fractional coordinates):
Ba 0.0000 0.0000 0.0000  4 Eu 4.36, 8 Ba 4.37
Ba 0.2500 0.7500 0.5000  8 Ba 4.36-4.37, 4 Eu 4.37
Ba 0.7500 0.2500 0.5000  8 Ba 4.36-4.37, 4 Eu 4.37
Eu 0.5000 0.5000 0.0000  12 Ba 4.36-4.37

Energy above the most stable polymorph in this dataset: 0.012 eV/atom
SG: No. 139
ΔH_f (0 K): 0.053 eV per atom
E_tot: -3.958 eV per atom

=====

Record 10
VASP calculation (PBE-GGA) on BaEu3 after structural relaxation.

Unit cell a=6.4765 b=6.4765 c=6.4765 alpha=60.00 beta=60.00 gamma=60.00
With the nearest neighbours (Å) after each atom.
Atoms (fractional coordinates):
Ba 0.0000 0.0000 0.0000  8 Eu 3.97
Eu 0.2500 0.2500 0.2500  4 Ba 3.97, 4 Eu 3.97
Eu 0.5000 0.5000 0.5000  8 Eu 3.97
Eu 0.7500 0.7500 0.7500  4 Ba 3.97, 4 Eu 3.97

SG: No. 225
ΔH_f (0 K): 0.077 eV per atom
E_tot: -8.110 eV per atom

=====

Record 11
VASP calculation (PBE-GGA) on Ba3EuF after structural relaxation.

Unit cell a=5.9709 b=5.9709 c=5.9709 alpha=90.00 beta=90.00 gamma=90.00
With the nearest neighbours (Å) after each atom.
Atoms (fractional coordinates):
Ba 0.0000 0.0000 0.5000  2 F 2.99
Ba 0.0000 0.5000 0.0000  2 F 2.99
Ba 0.5000 0.0000 0.0000  2 F 2.99
Eu 0.5000 0.5000 0.5000  12 Ba 4.22
F 0.0000 0.0000 0.0000  6 Ba 2.99

SG: No. 221
E_tot: -4.585 eV per atom

=====

Record 12
VASP calculation (PBE-GGA) on BaEuF2 after structural relaxation.

Unit cell a=7.3996 b=7.3996 c=7.3996 alpha=33.07 beta=33.07 gamma=33.07
With the nearest neighbours (Å) after each atom.
Atoms (fractional coordinates):
Ba 0.0000 0.0000 0.0000  2 F 2.69
Eu 0.5000 0.5000 0.5000  6 F 2.56
F 0.1285 0.1285 0.1285  3 Eu 2.56, 1 Ba 2.69
F 0.8715 0.8715 0.8715  3 Eu 2.56, 1 Ba 2.69

SG: No. 166
E_tot: -6.731 eV per atom

=====

Record 13
VASP calculation (PBE-GGA) on BaEuF after structural relaxation.

Unit cell a=4.2006 b=4.2006 c=7.7462 alpha=90.00 beta=90.00 gamma=120.00
With the nearest neighbours (Å) after each atom.
Atoms (fractional coordinates):
Ba 0.0000 0.0000 0.0000  6 Ba 4.20, 6 F 4.57, 6 Eu 4.57
Eu 0.3333 0.6667 0.4999  3 F 2.43
F 0.6667 0.3333 0.5007  3 Eu 2.43

SG: No. 156
E_tot: -6.375 eV per atom

=====

Record 14
VASP calculation (PBE-GGA) on BaEu3Fe after structural relaxation.

Unit cell a=5.7740 b=5.7740 c=5.7740 alpha=90.00 beta=90.00 gamma=90.00
With the nearest neighbours (Å) after each atom.
Atoms (fractional coordinates):
Ba 0.0000 0.0000 0.0000  12 Eu 4.08
Eu 0.0000 0.5000 0.5000  2 Fe 2.89
Eu 0.5000 0.0000 0.5000  2 Fe 2.89
Eu 0.5000 0.5000 0.0000  2 Fe 2.89
Fe 0.5000 0.5000 0.5000  6 Eu 2.89

SG: No. 221
ΔH_f (0 K): 0.197 eV per atom
E_tot: -8.045 eV per atom